Ag3C2 | PBE-GGA | relaxed

Summary:
Energy above the most stable polymorph in this dataset ... 4 meV per atom

abc: 7.737 6.616 5.323
angles: 79.98 57.36 42.66
Element x y z (fractional)
Ag 0.238 0.117 0.011
Ag 0.634 0.011 0.117
Ag 0.239 0.616 0.012
Ag 0.133 0.012 0.616
Ag 0.913 0.587 0.587
Ag 0.663 0.337 0.337
C 0.774 0.118 0.666
C 0.441 0.666 0.118
C 0.584 0.809 0.476
C 0.132 0.476 0.809